The following is a GGA-PBE calculation of LiCrTe2 after structural relaxation, from the Alexandria database.

Cell: 5.4682 5.4682 5.4682 Å, 137.14 106.87 88.67°
Site moments in Bohr magnetons follow the coordinates.
Element x y z (fractional)
Cr 0.7500 0.2500 0.5000  3.43
Li 0.2500 0.7500 0.5000  -0.01
Te 0.9829 0.9829 0.0000  -0.20
Te 0.5171 0.5171 0.0000  -0.20

Values from the calculation:
As for the space group: Immm, No. 71. The value obtained for the total energy is -18.6 eV for the cell shown.


The following is a GGA-PBE calculation of LiCrTe2 after structural relaxation, from the Alexandria database.

Cell: 6.5360 6.5360 7.3020 Å, 63.41 63.41 90.00°
Site moments in Bohr magnetons follow the coordinates.
Element x y z (fractional)
Cr 0.0000 0.0000 0.0000  3.11
Cr 0.7500 0.2500 0.5000  3.12
Te 0.6500 0.1250 0.2500  -0.16
Te 0.1000 0.6250 0.2500  -0.16
Te 0.3750 0.3500 0.7500  -0.16
Te 0.8750 0.9000 0.7500  -0.16
Li 0.5000 0.5000 0.0000  0.00
Li 0.2500 0.7500 0.5000  0.00

Values from the calculation:
As for the space group: I-42d, No. 122. The value obtained for the total energy is -38.1 eV for the cell shown.


Values of raw formation energy, in order: -196.6 -308.8, all in meV/atom.